{
  "formula": "TaNb6Au",
  "functional": "PBE-GGA",
  "state": "optimized geometry",
  "lattice": [[3.3800, 0.0000, 0.0000], [0.0000, 4.6400, 4.6319], [0.0000, -4.6400, 4.6319]],
  "species": ["Ta", "Nb", "Nb", "Nb", "Nb", "Nb", "Nb", "Au"],
  "fractional_positions": [[0.0000, 0.0000, 0.0000], [0.0000, 0.5111, 0.5111], [0.0000, 0.5125, 0.9991], [0.0000, 0.9991, 0.5125], [0.5000, 0.2564, 0.7549], [0.5000, 0.7549, 0.2564], [0.5000, 0.7562, 0.7562], [0.5000, 0.2539, 0.2539]],
  "volume_a3_per_atom": 18.2,
  "total_magnetization_mub_per_cell": 0.000,
  "ef_ev_per_atom": -0.076,
  "dos_ef_per_ev_atom": 0.84
}

***

{
  "formula": "TaNbAu3",
  "functional": "PBE-GGA",
  "state": "optimized geometry",
  "lattice": [[2.9302, 0.0000, 0.0000], [-1.4651, 2.5376, 0.0000], [0.0000, 0.0000, 24.2357]],
  "species": ["Ta", "Ta", "Nb", "Nb", "Au", "Au", "Au", "Au", "Au", "Au"],
  "fractional_positions": [[0.3333, 0.6667, 0.0000], [0.6667, 0.3333, 0.5000], [0.0000, 0.0000, 0.2992], [0.0000, 0.0000, 0.7992], [0.0000, 0.0000, 0.0971], [0.0000, 0.0000, 0.5971], [0.3333, 0.6667, 0.4001], [0.3333, 0.6667, 0.7008], [0.6667, 0.3333, 0.2008], [0.6667, 0.3333, 0.9001]],
  "volume_a3_per_atom": 18.0,
  "total_magnetization_mub_per_cell": 0.000,
  "ef_ev_per_atom": 0.034,
  "dos_ef_per_ev_atom": 0.56
}

***

{
  "formula": "Ta6Nb2Au",
  "functional": "PBE-GGA",
  "state": "optimized geometry",
  "lattice": [[7.3449, -1.3701, 0.0000], [7.3449, 1.3701, 0.0000], [-5.8512, 0.0000, 8.3354]],
  "species": ["Ta", "Ta", "Ta", "Ta", "Ta", "Ta", "Nb", "Nb", "Au"],
  "fractional_positions": [[0.0522, 0.0522, 0.2652], [0.2284, 0.2284, 0.6088], [0.3860, 0.3860, 0.9474], [0.6140, 0.6140, 0.0526], [0.7716, 0.7716, 0.3912], [0.9478, 0.9478, 0.7348], [0.3348, 0.3348, 0.1798], [0.6652, 0.6652, 0.8202], [0.0000, 0.0000, 0.5000]],
  "volume_a3_per_atom": 18.6,
  "total_magnetization_mub_per_cell": 0.000,
  "ef_ev_per_atom": 0.197,
  "dos_ef_per_ev_atom": 1.04
}

***

{
  "formula": "TaNbAu2",
  "functional": "PBE-GGA",
  "state": "optimized geometry",
  "lattice": [[1.9160, -2.1178, 0.0000], [1.9160, 2.1178, 0.0000], [0.0000, 0.0000, 8.8772]],
  "species": ["Ta", "Nb", "Au", "Au"],
  "fractional_positions": [[0.0000, 0.0000, 0.0000], [0.5000, 0.5000, 0.7458], [0.0000, 0.0000, 0.5015], [0.5000, 0.5000, 0.2405]],
  "volume_a3_per_atom": 18.0,
  "total_magnetization_mub_per_cell": 0.000,
  "ef_ev_per_atom": -0.108,
  "dos_ef_per_ev_atom": 0.59
}